[1]
{
  "formula": "Re3PtCl",
  "functional": "PBE-GGA",
  "state": "relaxed",
  "e_form_raw_ev_per_atom": 2.658,
  "volume_a3_per_atom": 22.93,
  "sg": "No. 221",
  "cell": [[4.858, 0.000, 0.000], [0.000, 4.858, 0.000], [0.000, 0.000, 4.858]],
  "species": ["Re", "Pt", "Re", "Re", "Cl"],
  "frac_coords": [[0.500, 0.000, 0.000], [0.000, 0.000, 0.000], [0.000, 0.500, 0.000], [0.000, 0.000, 0.500], [0.500, 0.500, 0.500]]
}

[2]
{
  "formula": "Ca4LaOs",
  "functional": "PBE-GGA",
  "state": "relaxed",
  "volume_a3_per_atom": 30.44,
  "sg": "No. 216",
  "energy_ev_per_atom": -3.10,
  "cell": [[3.464, -2.651, 4.641], [-2.698, -1.362, 5.606], [-1.009, -6.066, 1.659]],
  "species": ["Ca", "Ca", "Os", "Ca", "Ca", "La"],
  "frac_coords": [[0.880, 0.373, 0.373], [0.373, 0.373, 0.373], [0.000, 0.000, 0.000], [0.373, 0.373, 0.880], [0.373, 0.880, 0.373], [0.750, 0.750, 0.750]]
}

[3]
{
  "formula": "SiWBr2",
  "functional": "PBE-GGA",
  "state": "relaxed",
  "e_form_raw_ev_per_atom": 0.131,
  "volume_a3_per_atom": 25.85,
  "sg": "No. 6",
  "cell": [[-1.383, -2.900, 0.978], [1.310, -1.599, -2.890], [7.524, -2.341, 3.699]],
  "species": ["Br", "Br", "Si", "W"],
  "frac_coords": [[0.000, 0.733, 0.919], [0.500, 0.145, 0.319], [0.000, 0.551, 0.668], [0.500, 0.072, 0.594]]
}

[4]
{
  "formula": "LiCd2Bi",
  "functional": "PBE-GGA",
  "state": "relaxed",
  "volume_a3_per_atom": 23.57,
  "sg": "No. 123",
  "energy_ev_per_atom": -2.06,
  "cell": [[4.737, 0.000, 0.000], [0.000, 4.462, 0.000], [0.000, 0.000, 4.462]],
  "species": ["Bi", "Cd", "Cd", "Li"],
  "frac_coords": [[0.500, 0.500, 0.500], [0.000, 0.500, 0.000], [0.000, 0.000, 0.500], [0.500, 0.000, 0.000]]
}

[5]
{
  "formula": "InSe2",
  "functional": "PBE-GGA",
  "state": "relaxed",
  "e_form_raw_ev_per_atom": -0.006,
  "volume_a3_per_atom": 26.49,
  "sg": "No. 139",
  "cell": [[-2.124, -5.324, -0.780], [0.982, -3.020, -4.835], [2.882, 3.082, 3.958]],
  "species": ["In", "Se", "Se"],
  "frac_coords": [[0.500, 0.500, 0.000], [0.122, 0.122, 0.000], [0.878, 0.878, 0.000]]
}

[6]
{
  "formula": "Ac3Pr2Tl4",
  "functional": "PBE-GGA",
  "state": "relaxed",
  "volume_a3_per_atom": 34.28,
  "sg": "No. 12",
  "energy_ev_per_atom": -3.76,
  "cell": [[2.872, 4.901, -0.217], [-2.872, 4.901, -0.217], [0.000, 0.309, 10.943]],
  "species": ["Ac", "Ac", "Ac", "Tl", "Pr", "Tl", "Pr", "Tl", "Tl"],
  "frac_coords": [[0.667, 0.667, 0.418], [0.333, 0.333, 0.582], [0.000, 0.000, 0.000], [0.001, 0.001, 0.341], [0.668, 0.668, 0.786], [0.665, 0.665, 0.102], [0.332, 0.332, 0.214], [0.999, 0.999, 0.659], [0.335, 0.335, 0.898]]
}

- Number 6 is which compound?
  Ac3Pr2Tl4